## Cr2TcO4 (GGA+U)

Data for a relaxed Cr2TcO4 crystal.

## Properties
Volume, Å³ per atom: 12.34
Total magnetization, μB/cell: 17.09
Raw total energy, eV/cell: -105.096

Lattice parameters (Å, degrees): 3.7951 3.7951 11.9967 90.00 90.00 90.00
Last column: nearest neighbours and their distance in Å.
Space group I4/mmm (No. 139)
Symmetry-distinct sites (fractional):
Cr 0.0000 0.0000 0.1640 [4 per cell]  1 O 1.95
Tc 0.0000 0.0000 0.5000 [2 per cell]  6 O 1.90-2.08
O 0.0000 0.0000 0.3267 [4 per cell]  1 Cr 1.95, 1 Tc 2.08
O 0.0000 0.5000 0.0000 [4 per cell]  2 Tc 1.90